VASP calculation (PBE-GGA) on a relaxed Li2SeBr crystal.

CIF file:
```
data_Li2SeBr
_space_group_name_H-M_alt 'P 1 2/m 1'
_space_group_IT_number 10
_space_group_name_Hall '-P 2y'
_cell_length_a 3.356
_cell_length_b 3.405
_cell_length_c 7.201
_cell_angle_alpha 90.00
_cell_angle_beta 90.38
_cell_angle_gamma 90.00
loop_
_atom_site_label
_atom_site_type_symbol
_atom_site_fract_x
_atom_site_fract_y
_atom_site_fract_z
_atom_site_occupancy
Li1 Li 0.024 0.000 0.221 1
Se1 Se 0.000 0.500 0.500 1
Br1 Br 0.500 0.500 0.000 1
```

- Energy: -12.88 eV/cell
- DOS(E_F): 0.30 states/eV per atom
- Formation energy from raw total energies: -974 meV per atom